No. 1
Below is crystalline YPaAg2O8 at its relaxed geometry, with properties calculated at the GGA-PBE level.

Calculated values
As for the total energy: -157.76 eV/cell.

```
data_YPaAg2O8
_chemical_formula_sum 'Y2 Pa2 Ag4 O16'
_cell_length_a 7.322
_cell_length_b 7.322
_cell_length_c 6.900
_cell_angle_alpha 90.00
_cell_angle_beta 90.00
_cell_angle_gamma 90.00
_symmetry_space_group_name_H-M 'I -4 m 2'
_symmetry_Int_Tables_number 119
_symmetry_space_group_name_Hall 'I -4 -2'
loop_
_atom_site_label
_atom_site_fract_x
_atom_site_fract_y
_atom_site_fract_z
Y1 0.000 0.000 0.000
Pa1 0.000 0.500 0.750
Ag1 0.000 0.000 0.500
Ag2 0.000 0.500 0.250
O1 0.000 0.188 0.729
O2 0.000 0.321 0.016
```

No. 2
Below is crystalline YPaAgO6 at its relaxed geometry, with properties calculated at the GGA-PBE level.

Calculated values
As for the total energy: -68.16 eV/cell.

```
data_YPaAgO6
_chemical_formula_sum 'Y1 Pa1 Ag1 O6'
_cell_length_a 5.4949
_cell_length_b 5.4949
_cell_length_c 4.9246
_cell_angle_alpha 90.00
_cell_angle_beta 90.00
_cell_angle_gamma 120.00
_symmetry_space_group_name_H-M 'P 3 1 2'
_symmetry_Int_Tables_number 149
loop_
_symmetry_equiv_pos_as_xyz
'x,y,z'
'-y,x-y,z'
'-x+y,-x,z'
'-y,-x,-z'
'-x+y,y,-z'
'x,x-y,-z'
loop_
_atom_site_label
_atom_site_fract_x
_atom_site_fract_y
_atom_site_fract_z
Y1 0.0000 0.0000 0.0000
Pa1 0.6667 0.3333 0.5000
Ag1 0.3333 0.6667 0.0000
O1 0.3523 0.0034 0.2447
```

No. 3
Below is crystalline PaZnAg2O6 at its relaxed geometry, with properties calculated at the GGA-PBE level.

Calculated values
As for the total energy: -60.29 eV/cell.

```
data_PaZnAg2O6
_chemical_formula_sum 'Pa1 Zn1 Ag2 O6'
_cell_length_a 5.460
_cell_length_b 5.639
_cell_length_c 5.850
_cell_angle_alpha 63.25
_cell_angle_beta 85.40
_cell_angle_gamma 63.12
_symmetry_space_group_name_H-M 'P 1'
_symmetry_Int_Tables_number 1
loop_
_symmetry_equiv_pos_as_xyz
'x,y,z'
loop_
_atom_site_label
_atom_site_fract_x
_atom_site_fract_y
_atom_site_fract_z
Pa1 0.000 0.000 0.000
Zn1 0.548 0.915 0.535
Ag1 0.301 0.396 0.916
Ag2 0.787 0.378 0.412
O1 0.006 0.571 0.160
O2 0.267 0.847 0.756
O3 0.337 0.956 0.207
O4 0.616 0.158 0.705
O5 0.720 0.157 0.243
O6 0.877 0.484 0.681
```

No. 4
Below is crystalline PaZn4Ag3O12 at its relaxed geometry, with properties calculated at the GGA-PBE level.

Calculated values
As for the total energy: -206.58 eV/cell.

```
data_PaZn4Ag3O12
_chemical_formula_sum 'Pa2 Zn8 Ag6 O24'
_cell_length_a 7.670
_cell_length_b 7.670
_cell_length_c 7.670
_cell_angle_alpha 90.00
_cell_angle_beta 90.00
_cell_angle_gamma 90.00
_symmetry_space_group_name_H-M 'I m -3'
_symmetry_Int_Tables_number 204
_symmetry_space_group_name_Hall '-I 2 2 3'
loop_
_atom_site_label
_atom_site_fract_x
_atom_site_fract_y
_atom_site_fract_z
Pa1 0.000 0.000 0.000
Zn1 0.250 0.250 0.250
Ag1 0.000 0.000 0.500
O1 0.000 0.287 0.165
```

No. 5
Below is crystalline ZrPaAg2O6 at its relaxed geometry, with properties calculated at the GGA-PBE level.

Calculated values
As for the total energy: -150.43 eV/cell.

```
data_ZrPaAg2O6
_chemical_formula_sum 'Zr2 Pa2 Ag4 O12'
_cell_length_a 9.881
_cell_length_b 6.110
_cell_length_c 5.717
_cell_angle_alpha 90.00
_cell_angle_beta 124.95
_cell_angle_gamma 90.00
_symmetry_space_group_name_H-M 'C 1 2/m 1'
_symmetry_Int_Tables_number 12
loop_
_symmetry_equiv_pos_as_xyz
'x,y,z'
'-x,-y,-z'
'-x,y,-z'
'x,-y,z'
'x+1/2,y+1/2,z'
'-x+1/2,-y+1/2,-z'
'-x+1/2,y+1/2,-z'
'x+1/2,-y+1/2,z'
loop_
_atom_site_label
_atom_site_fract_x
_atom_site_fract_y
_atom_site_fract_z
Zr1 0.000 0.000 0.000
Pa1 0.000 0.500 0.500
Ag1 0.250 0.000 0.787
O1 0.069 0.247 0.824
O2 0.247 0.000 0.378
```

No. 6
Below is crystalline Ag12PbO7 at its relaxed geometry, with properties calculated at the GGA-PBE level.

Calculated values
As for the total energy: -225.43 eV/cell.

```
data_Ag12PbO7
_chemical_formula_sum 'Ag36 Pb3 O21'
_cell_length_a 11.7839
_cell_length_b 11.7839
_cell_length_c 8.1943
_cell_angle_alpha 90.00
_cell_angle_beta 90.00
_cell_angle_gamma 120.00
_symmetry_space_group_name_H-M 'R -3'
_symmetry_Int_Tables_number 148
_symmetry_space_group_name_Hall '-R 3'
loop_
_atom_site_label
_atom_site_fract_x
_atom_site_fract_y
_atom_site_fract_z
Ag1 0.0090 0.5888 0.3481
Ag2 0.0396 0.8465 0.3645
Pb1 0.0000 0.0000 0.0000
O1 0.0000 0.0000 0.5000
O2 0.0191 0.1846 0.1526
```

No. 7
Below is crystalline Ag5Pb3O12 at its relaxed geometry, with properties calculated at the GGA-PBE level.

Calculated values
As for the total energy: -708.28 eV/cell.

```
data_Ag5Pb3O12
_chemical_formula_sum 'Ag40 Pb24 O96'
_cell_length_a 13.293
_cell_length_b 13.293
_cell_length_c 13.293
_cell_angle_alpha 90.00
_cell_angle_beta 90.00
_cell_angle_gamma 90.00
_symmetry_space_group_name_H-M 'I a -3 d'
_symmetry_Int_Tables_number 230
_symmetry_space_group_name_Hall '-I 4bd 2c 3'
loop_
_atom_site_label
_atom_site_fract_x
_atom_site_fract_y
_atom_site_fract_z
Ag1 0.000 0.000 0.000
Ag2 0.000 0.250 0.375
Pb1 0.000 0.250 0.125
O1 0.011 0.052 0.654
```

No. 8
Below is crystalline Ag9Pb4O12 at its relaxed geometry, with properties calculated at the GGA-PBE level.

Calculated values
As for the total energy: -223.99 eV/cell.

```
data_Ag9Pb4O12
_chemical_formula_sum 'Ag18 Pb8 O24'
_cell_length_a 8.825
_cell_length_b 10.437
_cell_length_c 11.938
_cell_angle_alpha 90.00
_cell_angle_beta 132.44
_cell_angle_gamma 90.00
_symmetry_space_group_name_H-M 'P 1 21/c 1'
_symmetry_Int_Tables_number 14
loop_
_symmetry_equiv_pos_as_xyz
'x,y,z'
'-x,-y,-z'
'-x,y+1/2,-z+1/2'
'x,-y+1/2,z+1/2'
loop_
_atom_site_label
_atom_site_fract_x
_atom_site_fract_y
_atom_site_fract_z
Ag1 0.000 0.000 0.000
Ag2 0.000 0.007 0.256
Ag3 0.006 0.747 0.881
Ag4 0.225 0.743 0.236
Ag5 0.232 0.246 0.988
Pb1 0.495 0.081 0.869
Pb2 0.499 0.084 0.373
O1 0.304 0.249 0.714
O2 0.305 0.565 0.686
O3 0.306 0.057 0.932
O4 0.312 0.063 0.438
O5 0.315 0.749 0.472
O6 0.319 0.565 0.191
```

No. 9
Below is crystalline Ag7Pb3O9 at its relaxed geometry, with properties calculated at the GGA-PBE level.

Calculated values
As for the total energy: -339.31 eV/cell.

```
data_Ag7Pb3O9
_chemical_formula_sum 'Ag28 Pb12 O36'
_cell_length_a 8.864
_cell_length_b 8.891
_cell_length_c 15.919
_cell_angle_alpha 97.29
_cell_angle_beta 97.80
_cell_angle_gamma 94.50
_symmetry_space_group_name_H-M 'P -1'
_symmetry_Int_Tables_number 2
loop_
_symmetry_equiv_pos_as_xyz
'x,y,z'
'-x,-y,-z'
loop_
_atom_site_label
_atom_site_fract_x
_atom_site_fract_y
_atom_site_fract_z
Ag1 0.000 0.000 0.000
Ag2 0.028 0.798 0.669
Ag3 0.080 0.083 0.833
Ag4 0.134 0.362 0.000
Ag5 0.158 0.161 0.664
Ag6 0.167 0.167 0.166
Ag7 0.197 0.969 0.336
Ag8 0.245 0.245 0.497
Ag9 0.302 0.527 0.668
Ag10 0.333 0.333 0.835
Ag11 0.334 0.330 0.333
Ag12 0.367 0.137 0.000
Ag13 0.417 0.415 0.163
Ag14 0.467 0.699 0.335
Ag15 0.500 0.500 0.500
Pb1 0.056 0.556 0.221
Pb2 0.112 0.614 0.445
Pb3 0.228 0.722 0.892
Pb4 0.284 0.777 0.110
Pb5 0.383 0.888 0.553
Pb6 0.441 0.944 0.776
O1 0.010 0.698 0.796
O2 0.053 0.365 0.458
O3 0.073 0.381 0.668
O4 0.092 0.785 0.000
O5 0.117 0.803 0.206
O6 0.161 0.467 0.876
O7 0.180 0.860 0.455
O8 0.223 0.530 0.124
O9 0.240 0.545 0.333
O10 0.254 0.948 0.664
O11 0.277 0.969 0.873
O12 0.326 0.631 0.543
O13 0.343 0.033 0.127
O14 0.388 0.697 0.793
O15 0.409 0.724 0.001
O16 0.430 0.115 0.335
O17 0.442 0.136 0.540
O18 0.495 0.801 0.209
```

No. 10
Below is crystalline Ag2PbO3 at its relaxed geometry, with properties calculated at the GGA-PBE level.

Calculated values
As for the total energy: -53.88 eV/cell.

```
data_Ag2PbO3
_chemical_formula_sum 'Ag4 Pb2 O6'
_cell_length_a 6.454
_cell_length_b 3.442
_cell_length_c 9.410
_cell_angle_alpha 90.00
_cell_angle_beta 107.07
_cell_angle_gamma 90.00
_symmetry_space_group_name_H-M 'P 1 21/m 1'
_symmetry_Int_Tables_number 11
loop_
_symmetry_equiv_pos_as_xyz
'x,y,z'
'-x,-y,-z'
'-x,y+1/2,-z'
'x,-y+1/2,z'
loop_
_atom_site_label
_atom_site_fract_x
_atom_site_fract_y
_atom_site_fract_z
Ag1 0.043 0.250 0.336
Ag2 0.287 0.250 0.984
Pb1 0.462 0.250 0.657
O1 0.191 0.250 0.750
O2 0.306 0.750 0.488
O3 0.347 0.250 0.218
```

No. 11
Below is crystalline AgPb2O4 at its relaxed geometry, with properties calculated at the GGA-PBE level.

Calculated values
As for the total energy: -137.14 eV/cell. The value obtained for the offset from the most stable computed form is 0 meV/atom.

```
data_AgPb2O4
_chemical_formula_sum 'Ag4 Pb8 O16'
_cell_length_a 7.816
_cell_length_b 7.816
_cell_length_c 7.024
_cell_angle_alpha 90.00
_cell_angle_beta 90.00
_cell_angle_gamma 90.00
_symmetry_space_group_name_H-M 'I -4 2 d'
_symmetry_Int_Tables_number 122
_symmetry_space_group_name_Hall 'I -4 2bw'
loop_
_atom_site_label
_atom_site_fract_x
_atom_site_fract_y
_atom_site_fract_z
Ag1 0.000 0.000 0.000
Pb1 0.205 0.750 0.625
O1 0.060 0.726 0.899
```

No. 12
Below is crystalline AgPb3O4 at its relaxed geometry, with properties calculated at the GGA-PBE level.

Calculated values
As for the total energy: -79.84 eV/cell.

```
data_AgPb3O4
_chemical_formula_sum 'Ag2 Pb6 O8'
_cell_length_a 4.465
_cell_length_b 11.197
_cell_length_c 5.825
_cell_angle_alpha 90.00
_cell_angle_beta 90.00
_cell_angle_gamma 90.00
_symmetry_space_group_name_H-M 'P m m n'
_symmetry_Int_Tables_number 59
loop_
_symmetry_equiv_pos_as_xyz
'x,y,z'
'-x,-y,-z'
'-x+1/2,-y+1/2,z'
'x+1/2,y+1/2,-z'
'x+1/2,-y,-z'
'-x+1/2,y,z'
'-x,y+1/2,-z'
'x,-y+1/2,z'
loop_
_atom_site_label
_atom_site_fract_x
_atom_site_fract_y
_atom_site_fract_z
Ag1 0.250 0.250 0.226
Pb1 0.250 0.515 0.753
Pb2 0.250 0.750 0.269
O1 0.250 0.250 0.788
O2 0.250 0.550 0.132
O3 0.250 0.750 0.670
```

- What is the formula in the fifth record?
  ZrPaAg2O6